[1]
VASP calculation (PBE-GGA) on crystalline BaPrAs at its relaxed geometry.

The excess energy over the best structure of this formula in the dataset comes out at 0.0000 eV per atom. As for the total energy: -53.547 eV/cell. The calculation puts the volume at 34.72 Å³ per atom. Its crystal system is cubic.

It has space group F-43m (No. 216), with a = 7.4688 Å, b = 7.4688 Å, c = 7.4688 Å, α = 90.00°, β = 90.00° and γ = 90.00°. The asymmetric unit holds Ba at (0.0000, 0.0000, 0.0000), Pr at (0.0000, 0.0000, 0.5000) and As at (0.2500, 0.2500, 0.2500).

[2]
VASP calculation (PBE-GGA) on crystalline ReGe at its relaxed geometry.

As for the total energy: -56.741 eV/cell. The calculation puts the volume at 22.34 Å³ per atom. Its crystal system is cubic.

It has space group F-43m (No. 216), with a = 5.6327 Å, b = 5.6327 Å, c = 5.6327 Å, α = 90.00°, β = 90.00° and γ = 90.00°. The asymmetric unit holds Re at (0.0000, 0.0000, 0.0000) and Ge at (0.2500, 0.2500, 0.2500).

[3]
VASP calculation (PBE-GGA) on crystalline KLuPdSe3 at its relaxed geometry.

As for the total energy: -112.459 eV/cell. The calculation puts the volume at 27.52 Å³ per atom. Its crystal system is orthorhombic.

It has space group Pnma (No. 62), with a = 15.0291 Å, b = 4.0882 Å, c = 10.7490 Å, α = 90.00°, β = 90.00° and γ = 90.00°. The asymmetric unit holds K at (0.2347, 0.2500, 0.0457), Lu at (0.0202, 0.2500, 0.3431), Pd at (0.0014, 0.7500, 0.0885), Se at (0.0888, 0.7500, 0.8791), Se at (0.0974, 0.2500, 0.5758) and Se at (0.1308, 0.7500, 0.2519).

[4]
VASP calculation (PBE-GGA) on crystalline CuAgPtPb at its relaxed geometry.

The excess energy over the best structure of this formula in the dataset comes out at 0.0000 eV per atom. As for the total energy: -63.892 eV/cell. The calculation puts the volume at 18.12 Å³ per atom. Its crystal system is cubic.

It has space group F-43m (No. 216), with a = 6.6189 Å, b = 6.6189 Å, c = 6.6189 Å, α = 90.00°, β = 90.00° and γ = 90.00°. The asymmetric unit holds Cu at (0.0000, 0.0000, 0.0000), Ag at (0.2500, 0.2500, 0.2500), Pt at (0.0000, 0.0000, 0.5000) and Pb at (0.2500, 0.2500, 0.7500).

[5]
VASP calculation (PBE-GGA) on crystalline DyHfCu2Sn2 at its relaxed geometry.

As for the total energy: -32.551 eV/cell. The calculation puts the volume at 19.98 Å³ per atom. Its crystal system is trigonal.

It has space group P3m1 (No. 156), with a = 4.4947 Å, b = 4.4947 Å, c = 6.8532 Å, α = 90.00°, β = 90.00° and γ = 120.00°. The asymmetric unit holds Dy at (0.0000, 0.0000, 0.0000), Hf at (0.0000, 0.0000, 0.4989), Cu at (0.3333, 0.6667, 0.3315), Cu at (0.6667, 0.3333, 0.7942), Sn at (0.3333, 0.6667, 0.7307) and Sn at (0.6667, 0.3333, 0.2480).

[6]
VASP calculation (PBE-GGA) on crystalline Nd4Cu2Au at its relaxed geometry.

As for the total energy: -58.812 eV/cell. The calculation puts the volume at 31.72 Å³ per atom. As for the formation energy: 0.049 eV per atom. Its crystal system is tetragonal.

It has space group I4/mmm (No. 139), with a = 5.6490 Å, b = 5.6490 Å, c = 13.9173 Å, α = 90.00°, β = 90.00° and γ = 90.00°. The asymmetric unit holds Nd at (0.0000, 0.0000, 0.2114), Nd at (0.0000, 0.5000, 0.0000), Cu at (0.0000, 0.0000, 0.4122) and Au at (0.0000, 0.0000, 0.0000).

[7]
VASP calculation (PBE-GGA) on crystalline LaSmGd2Tl2 at its relaxed geometry.

As for the total energy: -25.292 eV/cell. The calculation puts the volume at 30.31 Å³ per atom. Its crystal system is hexagonal.

It has space group P-6m2 (No. 187), with a = 5.5275 Å, b = 5.5275 Å, c = 6.8736 Å, α = 90.00°, β = 90.00° and γ = 120.00°. The asymmetric unit holds La at (0.0000, 0.0000, 0.0000), Sm at (0.6667, 0.3333, 0.5000), Gd at (0.3333, 0.6667, 0.2595), Tl at (0.0000, 0.0000, 0.5000) and Tl at (0.6667, 0.3333, 0.0000).

[8]
VASP calculation (PBE-GGA) on crystalline SmTlPd at its relaxed geometry.

The excess energy over the best structure of this formula in the dataset comes out at 0.5848 eV per atom. As for the total energy: -49.731 eV/cell. The calculation puts the volume at 27.99 Å³ per atom. Its crystal system is cubic.

It has space group F-43m (No. 216), with a = 6.9515 Å, b = 6.9515 Å, c = 6.9515 Å, α = 90.00°, β = 90.00° and γ = 90.00°. The asymmetric unit holds Sm at (0.0000, 0.0000, 0.0000), Tl at (0.2500, 0.2500, 0.2500) and Pd at (0.2500, 0.2500, 0.7500).